Record 1
Compound: Ac2Pr6Dy
Source: the Alexandria database
Functional: PBE-GGA
Structure: relaxed

Geometry as POSCAR:
```
Ac2Pr6Dy
1.0
-1.403 2.101 -2.790
-0.610 -3.714 0.049
-23.251 4.017 14.722
Dy Pr Ac
1 6 2
Direct
0.333 0.667 0.000 Dy
0.667 0.333 0.104 Pr
0.667 0.333 0.896 Pr
0.333 0.667 0.438 Pr
0.333 0.667 0.788 Pr
0.333 0.667 0.562 Pr
0.333 0.667 0.212 Pr
0.667 0.333 0.672 Ac
0.667 0.333 0.328 Ac
```

Calculated values
volume	37.91	Å³/atom
space-group type	P-6m2 (187)
ΔH_f (0 K)	0.0739	eV/atom


Record 2
Compound: Ac5PrDy
Source: the Alexandria database
Functional: PBE-GGA
Structure: relaxed

Geometry as POSCAR:
```
Ac5PrDy
1.0
-1.176 6.585 -0.298
-9.762 1.662 0.050
-0.322 2.978 9.527
Ac Dy Pr
10 2 2
Direct
0.021 0.366 0.354 Ac
0.534 0.704 0.462 Ac
0.388 0.634 0.854 Ac
0.135 0.730 0.250 Ac
0.762 0.704 0.038 Ac
0.979 0.634 0.646 Ac
0.865 0.270 0.750 Ac
0.612 0.366 0.146 Ac
0.466 0.296 0.538 Ac
0.238 0.296 0.962 Ac
0.000 0.000 0.500 Dy
0.000 0.000 0.000 Dy
0.513 0.973 0.750 Pr
0.487 0.027 0.250 Pr
```

Calculated values
volume	43.02	Å³/atom
space-group type	C2/c (15)
ΔH_f (0 K)	0.2002	eV/atom


Record 3
Compound: Ac2Pr4Dy3
Source: the Alexandria database
Functional: PBE-GGA
Structure: relaxed

Geometry as POSCAR:
```
Ac2Pr4Dy3
1.0
-0.131 -4.771 -2.235
-0.697 -4.862 4.205
-10.873 -0.767 2.273
Dy Ac Pr
3 2 4
Direct
0.663 0.673 0.554 Dy
0.337 0.327 0.446 Dy
0.000 0.000 0.000 Dy
0.333 0.334 0.775 Ac
0.667 0.666 0.225 Ac
0.666 0.669 0.888 Pr
0.334 0.331 0.112 Pr
0.002 0.995 0.337 Pr
0.998 0.005 0.663 Pr
```

Calculated values
volume	36.50	Å³/atom
space-group type	C2/m (12)
ΔH_f (0 K)	0.0416	eV/atom


Record 4
Compound: AcPr4Dy6
Source: the Alexandria database
Functional: PBE-GGA
Structure: relaxed

Geometry as POSCAR:
```
AcPr4Dy6
1.0
7.584 -2.905 -5.523
-5.225 8.106 1.854
-1.873 2.905 9.193
Dy Pr Ac
6 4 1
Direct
0.644 0.200 0.200 Dy
0.500 0.500 0.000 Dy
0.000 0.444 0.800 Dy
0.500 0.000 0.500 Dy
0.000 0.800 0.444 Dy
0.356 0.556 0.556 Dy
0.000 0.629 0.015 Pr
0.614 0.985 0.985 Pr
0.000 0.015 0.629 Pr
0.386 0.371 0.371 Pr
0.000 0.000 0.000 Ac
```

Calculated values
volume	35.89	Å³/atom
space-group type	I-42m (121)
ΔH_f (0 K)	0.3243	eV/atom


Record 5
Compound: AcPr6Dy5
Source: the Alexandria database
Functional: PBE-GGA
Structure: relaxed

Geometry as POSCAR:
```
AcPr6Dy5
1.0
-3.830 -2.376 -2.571
2.757 -7.295 -2.597
-3.214 -4.350 8.809
Dy Pr Ac
5 6 1
Direct
0.667 0.666 0.500 Dy
0.671 0.658 0.000 Dy
0.333 0.334 0.500 Dy
0.329 0.342 0.000 Dy
0.000 0.000 0.500 Dy
0.168 0.665 0.254 Pr
0.832 0.335 0.254 Pr
0.832 0.335 0.746 Pr
0.500 0.000 0.257 Pr
0.168 0.665 0.746 Pr
0.500 0.000 0.743 Pr
0.000 0.000 0.000 Ac
```

Calculated values
volume	34.86	Å³/atom
space-group type	Cmmm (65)
ΔH_f (0 K)	0.0268	eV/atom


Record 6
Compound: Ac3Pr3Dy
Source: the Alexandria database
Functional: PBE-GGA
Structure: relaxed

Geometry as POSCAR:
```
Ac3Pr3Dy
1.0
-2.359 1.541 -4.938
-9.641 -10.028 1.476
-8.421 9.107 6.865
Pr Ac Dy
12 12 4
Direct
0.250 0.292 0.200 Pr
0.750 0.708 0.800 Pr
0.250 0.535 0.187 Pr
0.750 0.465 0.813 Pr
0.250 0.837 0.065 Pr
0.250 0.337 0.435 Pr
0.750 0.208 0.700 Pr
0.750 0.965 0.687 Pr
0.250 0.792 0.300 Pr
0.250 0.035 0.313 Pr
0.750 0.663 0.565 Pr
0.750 0.163 0.935 Pr
0.750 0.909 0.939 Ac
0.750 0.405 0.058 Ac
0.250 0.314 0.862 Ac
0.250 0.095 0.558 Ac
0.250 0.595 0.942 Ac
0.750 0.409 0.561 Ac
0.250 0.591 0.439 Ac
0.750 0.686 0.138 Ac
0.750 0.905 0.442 Ac
0.250 0.814 0.638 Ac
0.750 0.186 0.362 Ac
0.250 0.091 0.061 Ac
0.750 0.455 0.313 Dy
0.750 0.955 0.187 Dy
0.250 0.545 0.687 Dy
0.250 0.045 0.813 Dy
```

Calculated values
volume	40.27	Å³/atom
space-group type	Pnma (62)
ΔH_f (0 K)	0.1757	eV/atom


Record 7
Compound: AcPr3Dy8
Source: the Alexandria database
Functional: PBE-GGA
Structure: relaxed

Geometry as POSCAR:
```
AcPr3Dy8
1.0
-6.063 3.031 -5.306
4.487 -7.297 0.847
-4.623 -1.059 7.197
Pr Dy Ac
3 8 1
Direct
0.506 0.254 0.748 Pr
0.162 0.662 0.500 Pr
0.506 0.758 0.252 Pr
0.166 0.249 0.422 Dy
0.841 0.670 0.171 Dy
0.502 0.169 0.333 Dy
0.166 0.744 0.918 Dy
0.826 0.248 0.082 Dy
0.499 0.670 0.829 Dy
0.826 0.744 0.578 Dy
0.836 0.169 0.667 Dy
0.163 0.163 0.000 Ac
```

Calculated values
volume	33.95	Å³/atom
space-group type	C2 (5)
ΔH_f (0 K)	0.0354	eV/atom


Record 8
Compound: Ac2Pr3Dy6
Source: the Alexandria database
Functional: PBE-GGA
Structure: relaxed

Geometry as POSCAR:
```
Ac2Pr3Dy6
1.0
6.027 0.000 1.796
3.013 5.454 0.898
-1.377 0.000 11.961
Dy Ac Pr
6 2 3
Direct
0.586 0.332 0.244 Dy
0.082 0.332 0.756 Dy
0.918 0.668 0.244 Dy
0.414 0.668 0.756 Dy
0.747 0.000 0.756 Dy
0.253 0.000 0.244 Dy
0.167 0.666 0.500 Ac
0.833 0.334 0.500 Ac
0.000 0.000 0.000 Pr
0.664 0.671 0.000 Pr
0.336 0.329 0.000 Pr
```

Calculated values
volume	36.97	Å³/atom
space-group type	C2/m (12)
ΔH_f (0 K)	0.1845	eV/atom


Record 9
Compound: Ac2PrDy6
Source: the Alexandria database
Functional: PBE-GGA
Structure: relaxed

Geometry as POSCAR:
```
Ac2PrDy6
1.0
-6.206 0.718 0.673
2.973 -4.668 3.061
1.401 5.509 7.041
Dy Ac Pr
6 2 1
Direct
0.674 0.845 0.674 Dy
0.326 0.155 0.674 Dy
0.829 0.155 0.326 Dy
0.162 0.325 0.000 Dy
0.171 0.845 0.326 Dy
0.838 0.675 0.000 Dy
0.000 0.500 0.658 Ac
0.500 0.500 0.342 Ac
0.500 0.000 0.000 Pr
```

Calculated values
volume	34.67	Å³/atom
space-group type	C222 (21)
ΔH_f (0 K)	0.1383	eV/atom


Record 10
Compound: Ac2PrDy
Source: the Alexandria database
Functional: PBE-GGA
Structure: relaxed

Geometry as POSCAR:
```
Ac2PrDy
1.0
-5.472 -2.578 -0.280
-1.933 -2.444 -5.192
-0.491 -6.013 -0.518
Dy Pr Ac
1 1 2
Direct
0.000 0.000 0.000 Dy
0.500 0.500 0.500 Pr
0.250 0.250 0.250 Ac
0.750 0.750 0.750 Ac
```

Calculated values
volume	39.25	Å³/atom
space-group type	Fm-3m (225)
ΔH_f (0 K)	0.1116	eV/atom


Record 11
Compound: AcPrDy
Source: the Alexandria database
Functional: PBE-GGA
Structure: relaxed

Geometry as POSCAR:
```
AcPrDy
1.0
-2.455 -0.245 2.774
-3.174 -3.605 -3.127
6.550 -8.055 2.637
Ac Dy Pr
2 2 2
Direct
0.205 0.250 0.908 Ac
0.795 0.750 0.092 Ac
0.386 0.250 0.272 Dy
0.614 0.750 0.728 Dy
0.035 0.250 0.573 Pr
0.965 0.750 0.427 Pr
```

Calculated values
volume	37.43	Å³/atom
space-group type	P2_1/m (11)
ΔH_f (0 K)	0.0627	eV/atom


Record 12
Compound: Ac2Pr7Dy4
Source: the Alexandria database
Functional: PBE-GGA
Structure: relaxed

Geometry as POSCAR:
```
Ac2Pr7Dy4
1.0
-4.970 3.242 2.339
3.531 -3.647 3.862
8.000 10.434 2.539
Dy Pr Ac
4 7 2
Direct
0.000 0.000 0.606 Dy
0.333 0.667 0.500 Dy
0.667 0.333 0.500 Dy
0.000 0.000 0.394 Dy
0.000 0.372 0.769 Pr
0.000 0.000 0.000 Pr
0.000 0.628 0.231 Pr
0.372 0.372 0.231 Pr
0.628 0.000 0.231 Pr
0.628 0.628 0.769 Pr
0.372 0.000 0.769 Pr
0.333 0.667 0.000 Ac
0.667 0.333 0.000 Ac
```

Calculated values
volume	36.29	Å³/atom
space-group type	P-31m (162)
ΔH_f (0 K)	0.1951	eV/atom


| no. | spin magnetization (μB per atom) |
| --- | --- |
| 1 | 0.0001 |
| 2 | 0.0000 |
| 3 | 0.0000 |
| 4 | 0.0000 |
| 5 | 0.0000 |
| 6 | 0.0000 |
| 7 | 0.0001 |
| 8 | 0.0000 |
| 9 | 0.0002 |
| 10 | 0.0000 |
| 11 | 0.0000 |
| 12 | 0.0000 |